[1]
The following is a SCAN calculation of a crystal of Rb3NiH relaxed with PBEsol, from Alexandria via LeMat-Bulk.

a b c (Å): 5.4537 5.4537 5.4537
angles (deg): 90.00 90.00 90.00
Last column: nearest neighbours and their distance in Å.
Sites, in units of the cell vectors:
Rb: 0.0000 0.0000 0.5000  2 H 2.73
Rb: 0.0000 0.5000 0.0000  2 H 2.73
Rb: 0.5000 0.0000 0.0000  2 H 2.73
Ni: 0.5000 0.5000 0.5000  12 Rb 3.86
H: 0.0000 0.0000 0.0000  6 Rb 2.73

- symmetry = No. 221

=====

[2]
The following is a SCAN calculation of a crystal of LaSb2Au relaxed with PBEsol, from Alexandria via LeMat-Bulk.

a b c (Å): 7.3669 7.3669 7.3669
angles (deg): 90.00 90.00 90.00
Last column: nearest neighbours and their distance in Å.
Sites, in units of the cell vectors:
La: 0.0000 0.0000 0.0000  8 Sb 3.19
La: 0.0000 0.5000 0.5000  8 Sb 3.19
La: 0.5000 0.0000 0.5000  8 Sb 3.19
La: 0.5000 0.5000 0.0000  8 Sb 3.19
Sb: 0.2500 0.2500 0.2500  4 La 3.19, 4 Au 3.19
Sb: 0.2500 0.2500 0.7500  4 La 3.19, 4 Au 3.19
Sb: 0.2500 0.7500 0.2500  4 La 3.19, 4 Au 3.19
Sb: 0.2500 0.7500 0.7500  4 La 3.19, 4 Au 3.19
Sb: 0.7500 0.2500 0.2500  4 La 3.19, 4 Au 3.19
Sb: 0.7500 0.2500 0.7500  4 La 3.19, 4 Au 3.19
Sb: 0.7500 0.7500 0.2500  4 La 3.19, 4 Au 3.19
Sb: 0.7500 0.7500 0.7500  4 La 3.19, 4 Au 3.19
Au: 0.0000 0.0000 0.5000  8 Sb 3.19
Au: 0.0000 0.5000 0.0000  8 Sb 3.19
Au: 0.5000 0.0000 0.0000  8 Sb 3.19
Au: 0.5000 0.5000 0.5000  8 Sb 3.19

- symmetry = No. 225
- raw formation energy (eV per atom) = -0.397

=====

[3]
The following is a SCAN calculation of a crystal of CrWO4 relaxed with PBEsol, from Alexandria via LeMat-Bulk.

a b c (Å): 6.4528 6.6852 2.8963
angles (deg): 90.00 90.00 90.00
Last column: nearest neighbours and their distance in Å.
Sites, in units of the cell vectors:
Cr: 0.0000 0.0000 0.0000  6 O 1.95-1.96
Cr: 0.5000 0.5000 0.0000  6 O 1.95-1.96
W: 0.0000 0.5000 0.5000  6 O 1.92-2.00
W: 0.5000 0.0000 0.5000  6 O 1.92-2.00
O: 0.0000 0.2930 0.0000  1 Cr 1.96, 2 W 2.00
O: 0.0000 0.7070 0.0000  1 Cr 1.96, 2 W 2.00
O: 0.2031 0.0000 0.5000  1 W 1.92, 2 Cr 1.95
O: 0.2969 0.5000 0.5000  1 W 1.92, 2 Cr 1.95
O: 0.5000 0.2070 0.0000  1 Cr 1.96, 2 W 2.00
O: 0.5000 0.7930 0.0000  1 Cr 1.96, 2 W 2.00
O: 0.7031 0.5000 0.5000  1 W 1.92, 2 Cr 1.95
O: 0.7969 0.0000 0.5000  1 W 1.92, 2 Cr 1.95

- symmetry = No. 65
- raw formation energy (eV per atom) = -2.312

=====

[4]
The following is a SCAN calculation of a crystal of LiMgTa relaxed with PBEsol, from Alexandria via LeMat-Bulk.

a b c (Å): 2.8642 2.8642 12.7119
angles (deg): 90.00 90.00 90.00
Last column: nearest neighbours and their distance in Å.
Sites, in units of the cell vectors:
Li: 0.0000 0.0000 0.0000  4 Li 2.86, 4 Ta 2.90, 4 Mg 2.92
Li: 0.5000 0.5000 0.5000  4 Li 2.86, 4 Ta 2.90, 4 Mg 2.92
Mg: 0.0000 0.0000 0.6657  4 Mg 2.86, 4 Li 2.92, 4 Ta 2.97
Mg: 0.5000 0.5000 0.1657  4 Mg 2.86, 4 Li 2.92, 4 Ta 2.97
Ta: 0.0000 0.0000 0.3370  4 Ta 2.86, 4 Li 2.90, 4 Mg 2.97
Ta: 0.5000 0.5000 0.8370  4 Ta 2.86, 4 Li 2.90, 4 Mg 2.97

- symmetry = No. 107

=====

[5]
The following is a SCAN calculation of a crystal of LiAu2Br relaxed with PBEsol, from Alexandria via LeMat-Bulk.

a b c (Å): 3.7239 3.7239 5.9519
angles (deg): 90.00 90.00 90.00
Last column: nearest neighbours and their distance in Å.
Sites, in units of the cell vectors:
Li: 0.0000 0.0000 0.0000  4 Br 2.63
Au: 0.0000 0.5000 0.5000  4 Au 2.63
Au: 0.5000 0.0000 0.5000  4 Au 2.63
Br: 0.5000 0.5000 0.0000  4 Li 2.63

- symmetry = No. 123
- raw formation energy (eV per atom) = -0.499

=====

[6]
The following is a SCAN calculation of a crystal of SrCa2Sb relaxed with PBEsol, from Alexandria via LeMat-Bulk.

a b c (Å): 4.3369 5.4115 11.9091
angles (deg): 90.00 90.00 90.00
Last column: nearest neighbours and their distance in Å.
Sites, in units of the cell vectors:
Sr: 0.0000 0.0000 0.0000  2 Sb 3.36, 6 Ca 3.64-3.65
Sr: 0.5000 0.5000 0.5000  2 Sb 3.36, 6 Ca 3.64-3.65
Ca: 0.0000 0.0000 0.4070  2 Sb 3.15
Ca: 0.0000 0.5000 0.2062  4 Sb 3.47, 2 Ca 3.61, 2 Sr 3.65
Ca: 0.5000 0.0000 0.7062  4 Sb 3.47, 2 Ca 3.61, 2 Sr 3.65
Ca: 0.5000 0.5000 0.9070  2 Sb 3.15
Sb: 0.0000 0.5000 0.7153  6 Ca 3.15-3.47, 2 Sr 3.36
Sb: 0.5000 0.0000 0.2153  6 Ca 3.15-3.47, 2 Sr 3.36

- symmetry = No. 44
- raw formation energy (eV per atom) = -0.516

=====

For the records above, the corresponding DFT total energy values read -79.81, -753.48, -253.74, -145.80, -162.16, -161.85 eV per cell.
For the records above, the corresponding Fermi-level density of states values read 1.1673, 0.8295, 0.1296, 0.8403, 0.2260, 0.3937 states/eV/atom.